# 1
Material: Zn2AsPt
Method: DFT, GGA-PBEsol
State: optimized geometry

Results
Symmetry: P4mm

abc: 3.400 3.400 5.290
angles: 90.00 90.00 90.00
Fractional coordinates of all 4 atoms:
Zn: 0.000 0.000 0.000
Zn: 0.500 0.500 0.254
As: 0.000 0.000 0.509
Pt: 0.500 0.500 0.770

=====

# 2
Material: ZnAsPt2
Method: DFT, GGA-PBEsol
State: optimized geometry

Results
Symmetry: Fm-3m
Energy above the most stable polymorph in this dataset (meV per atom): 70

abc: 6.215 6.215 6.215
angles: 90.00 90.00 90.00
Fractional coordinates of all 16 atoms:
Zn: 0.000 0.000 0.000
Zn: 0.000 0.500 0.500
Zn: 0.500 0.000 0.500
Zn: 0.500 0.500 0.000
As: 0.000 0.000 0.500
As: 0.000 0.500 0.000
As: 0.500 0.000 0.000
As: 0.500 0.500 0.500
Pt: 0.250 0.250 0.250
Pt: 0.250 0.250 0.750
Pt: 0.250 0.750 0.250
Pt: 0.250 0.750 0.750
Pt: 0.750 0.250 0.250
Pt: 0.750 0.250 0.750
Pt: 0.750 0.750 0.250
Pt: 0.750 0.750 0.750

=====

# 3
Material: ZnAsPt2
Method: DFT, GGA-PBEsol
State: optimized geometry

Results
Symmetry: Pmm2
Energy above the most stable polymorph in this dataset (meV per atom): 0

abc: 2.937 4.679 4.410
angles: 90.00 90.00 90.00
Fractional coordinates of all 4 atoms:
Zn: 0.000 0.000 0.000
As: 0.500 0.500 0.753
Pt: 0.000 0.500 0.251
Pt: 0.500 0.000 0.504

=====

# 4
Material: ZnAsPt
Method: DFT, GGA-PBEsol
State: optimized geometry

Results
Symmetry: I4mm
Energy above the most stable polymorph in this dataset (meV per atom): 0

abc: 2.864 2.864 11.511
angles: 90.00 90.00 90.00
Fractional coordinates of all 6 atoms:
Zn: 0.000 0.000 0.000
Zn: 0.500 0.500 0.500
As: 0.000 0.000 0.688
As: 0.500 0.500 0.188
Pt: 0.000 0.000 0.351
Pt: 0.500 0.500 0.851

=====

| no. | magnetization (μB per cell) | energy of formation (meV per atom) |
| --- | --- | --- |
| 1 | 0.000 | -104 |
| 2 | 0.001 | -193 |
| 3 | 0.000 | -263 |
| 4 | 0.000 | -117 |